# 1
DFT (GGA-PBE) results for a relaxed BeFe4 crystal.

Summary:
M_tot = 2.057 μB/atom
total energy = -6.92 eV/atom
ΔE to the lowest computed polymorph = 26 meV/atom
ΔE_f = 0.590 eV per atom
volume = 63.7 Å³ per cell

Unit cell a=4.357 b=4.357 c=4.357 alpha=109.47 beta=109.47 gamma=109.47
Fractional positions:
Be: 0.000 0.000 0.000
Fe: 0.500 0.000 0.000
Fe: 0.500 0.500 0.500
Fe: 0.000 0.500 0.000
Fe: 0.000 0.000 0.500

# 2
DFT (GGA-PBE) results for a relaxed AcPm6Pr8 crystal.

Summary:
M_tot = 0.000 μB/atom
total energy = -4.55 eV/atom
ΔE to the lowest computed polymorph = 28 meV/atom
ΔE_f = 0.169 eV per atom
volume = 545.0 Å³ per cell

Unit cell a=8.525 b=8.525 c=8.525 alpha=72.05 beta=72.05 gamma=72.05
Fractional positions:
Ac: 0.000 0.000 0.000
Pm: 0.619 0.428 0.170
Pm: 0.170 0.619 0.428
Pm: 0.428 0.170 0.619
Pm: 0.381 0.572 0.830
Pm: 0.830 0.381 0.572
Pm: 0.572 0.830 0.381
Pr: 0.233 0.233 0.233
Pr: 0.767 0.767 0.767
Pr: 0.058 0.389 0.855
Pr: 0.855 0.058 0.389
Pr: 0.389 0.855 0.058
Pr: 0.942 0.611 0.145
Pr: 0.145 0.942 0.611
Pr: 0.611 0.145 0.942

# 3
DFT (GGA-PBE) results for a relaxed CsK2TeO crystal.

Summary:
M_tot = 0.085 μB/atom
total energy = -3.15 eV/atom
volume = 167.4 Å³ per cell
energy relative to the elements, uncorrected = -21.27 kcal/mol of atoms

Unit cell a=5.617 b=5.617 c=5.306 alpha=90.00 beta=90.00 gamma=90.00
Fractional positions:
Cs: 0.000 0.000 0.500
K: 0.000 0.500 0.000
K: 0.500 0.000 0.000
Te: 0.500 0.500 0.500
O: 0.000 0.000 0.000

Repeat the second record exactly.
DFT (GGA-PBE) results for a relaxed AcPm6Pr8 crystal.

Summary:
M_tot = 0.000 μB/atom
total energy = -4.55 eV/atom
ΔE to the lowest computed polymorph = 28 meV/atom
ΔE_f = 0.169 eV per atom
volume = 545.0 Å³ per cell

Unit cell a=8.525 b=8.525 c=8.525 alpha=72.05 beta=72.05 gamma=72.05
Fractional positions:
Ac: 0.000 0.000 0.000
Pm: 0.619 0.428 0.170
Pm: 0.170 0.619 0.428
Pm: 0.428 0.170 0.619
Pm: 0.381 0.572 0.830
Pm: 0.830 0.381 0.572
Pm: 0.572 0.830 0.381
Pr: 0.233 0.233 0.233
Pr: 0.767 0.767 0.767
Pr: 0.058 0.389 0.855
Pr: 0.855 0.058 0.389
Pr: 0.389 0.855 0.058
Pr: 0.942 0.611 0.145
Pr: 0.145 0.942 0.611
Pr: 0.611 0.145 0.942

> What is the M_tot in the first record?

2.057 μB/atom

> Look up the volume of the first one.

63.7 Å³ per cell